Nd5ErSb4 | PBE-GGA | relaxed

The value obtained for the uncorrected formation energy is -7.81 eV/f.u. As for the density: 6.5 g/cm³. The magnetization comes out at 0.00 μB/f.u.

It has space group C2/m (No. 12), with a = 19.140 Å, b = 4.393 Å, c = 8.657 Å, α = 90.00°, β = 104.96° and γ = 90.00°. The distinct sites, in fractional coordinates, are Nd at (0.000, 0.000, 0.000), Nd at (0.165, 0.500, 0.327), Nd at (0.173, 0.500, 0.849), Er at (0.000, 0.000, 0.500), Sb at (0.005, 0.500, 0.747) and Sb at (0.166, 0.000, 0.587).